1.
## KCrGaP2 (PBE)

Data for a relaxed structure of KCrGaP2.

total energy = -19.9 eV for the cell shown
DOS(E_F) = 2.74 states/eV per cell
magnetization = 4.86 μB/cell

```
5
Lattice="4.837 0.000 0.000 0.000 5.422 0.000 0.000 0.000 4.837" Properties=species:S:1:pos:R:3 pbc="T T T"
Cr 2.419 2.711 2.419
K 0.000 2.711 0.000
Ga 0.000 0.000 0.000
P 0.000 0.000 2.419
P 2.419 0.000 0.000
```

2.
## KCr2GaS (PBE)

Data for a relaxed structure of KCr2GaS.

total energy = -24.3 eV for the cell shown
DOS(E_F) = 3.59 states/eV per cell
polymorph energy (0 for the lowest one) = 192.5 meV/atom
magnetization = 9.17 μB/cell
formation energy (no corrections) = 640.5 meV/atom

```
5
Lattice="-1.097 -2.487 -4.145 4.911 -2.019 -0.089 -1.534 -3.852 2.717" Properties=species:S:1:pos:R:3 pbc="T T T"
Cr -0.767 -1.926 1.358
Cr -0.549 -1.243 -2.073
K 1.140 -4.179 -0.759
S 2.455 -1.009 -0.044
Ga 0.000 0.000 0.000
```

3.
## KCr2GaS (PBE)

Data for a relaxed structure of KCr2GaS.

total energy = -25.3 eV for the cell shown
DOS(E_F) = 2.88 states/eV per cell
polymorph energy (0 for the lowest one) = 0.0 meV/atom
magnetization = 8.47 μB/cell
formation energy (no corrections) = 448.0 meV/atom

```
5
Lattice="-4.339 -1.328 -1.357 -0.718 -1.987 4.238 -2.166 5.040 1.995" Properties=species:S:1:pos:R:3 pbc="T T T"
Cr -0.359 -0.993 2.119
Cr -2.169 -0.664 -0.678
K -3.611 0.863 2.438
S 0.000 0.000 0.000
Ga -1.083 2.520 0.998
```

4.
## KCrGa2S (PBE)

Data for a relaxed structure of KCrGa2S.

total energy = -21.6 eV for the cell shown
DOS(E_F) = 1.97 states/eV per cell
magnetization = 0.00 μB/cell
formation energy (no corrections) = -145.1 meV/atom

```
5
Lattice="4.861 0.000 0.000 0.000 4.483 0.000 0.000 0.000 4.861" Properties=species:S:1:pos:R:3 pbc="T T T"
Cr 0.000 0.000 0.000
K 2.430 2.242 2.430
S 0.000 2.242 0.000
Ga 0.000 0.000 2.430
Ga 2.430 0.000 0.000
```

5.
## KCrGaSe4 (PBE)

Data for a relaxed structure of KCrGaSe4.

total energy = -63.7 eV for the cell shown
DOS(E_F) = 3.33 states/eV per cell
magnetization = 3.98 μB/cell
formation energy (no corrections) = -592.6 meV/atom

```
14
Lattice="-2.609 5.989 -0.711 -6.054 -2.818 -1.521 0.397 -5.593 8.780" Properties=species:S:1:pos:R:3 pbc="T T T"
K -5.935 -3.303 6.609
K -2.331 0.880 -0.062
Cr -6.433 0.073 2.343
Cr -1.832 -2.495 4.204
Ga -4.923 -2.889 1.818
Ga -3.342 0.466 4.729
Se -3.016 -4.598 5.134
Se -8.264 0.773 0.655
Se -5.250 2.176 1.413
Se -0.002 -3.195 5.892
Se -5.373 -1.095 0.287
Se -2.892 -1.328 6.259
Se -5.886 -1.850 3.727
Se -2.379 -0.573 2.820
```

6.
## K3Cr2GaSe6 (PBE)

Data for a relaxed structure of K3Cr2GaSe6.

total energy = -56.2 eV for the cell shown
magnetization = 5.98 μB/cell
formation energy (no corrections) = -807.7 meV/atom

```
12
Lattice="-2.163 6.357 0.214 0.225 -3.277 -5.860 -6.352 -3.445 2.966" Properties=species:S:1:pos:R:3 pbc="T T T"
K -3.346 -3.407 -3.373
K -4.944 3.042 0.693
K -4.145 -0.183 -1.340
Cr -0.571 -0.067 -3.836
Cr -1.367 3.146 -1.810
Ga 0.000 0.000 0.000
Se -7.104 1.188 -0.878
Se -2.537 1.595 -3.528
Se -1.186 -1.553 -1.802
Se -6.291 -2.095 -2.948
Se -5.753 -1.961 0.848
Se -1.999 1.730 0.268
```

7.
## K2CrGaSn (PBE)

Data for a relaxed structure of K2CrGaSn.

total energy = -15.5 eV for the cell shown
DOS(E_F) = 3.88 states/eV per cell
magnetization = 4.29 μB/cell

```
5
Lattice="6.260 0.000 0.000 0.000 4.976 0.000 0.000 0.000 6.260" Properties=species:S:1:pos:R:3 pbc="T T T"
Cr 0.000 0.000 0.000
K 0.000 0.000 3.130
K 3.130 0.000 0.000
Sn 3.130 2.488 3.130
Ga 0.000 2.488 0.000
```

8.
## KSrCrGa2 (PBE)

Data for a relaxed structure of KSrCrGa2.

total energy = -12.2 eV for the cell shown
DOS(E_F) = 3.74 states/eV per cell
magnetization = 4.37 μB/cell

```
5
Lattice="5.621 0.000 0.000 0.000 6.144 0.000 0.000 0.000 5.621" Properties=species:S:1:pos:R:3 pbc="T T T"
Sr 0.000 3.072 0.000
K 0.000 0.000 0.000
Ga 0.000 0.000 2.810
Ga 2.810 0.000 0.000
Cr 2.810 3.072 2.810
```

9.
## K2CrGaTc (PBE)

Data for a relaxed structure of K2CrGaTc.

total energy = -19.1 eV for the cell shown
DOS(E_F) = 6.22 states/eV per cell
magnetization = 1.51 μB/cell

```
5
Lattice="6.422 0.000 0.000 0.000 4.452 0.000 0.000 0.000 6.422" Properties=species:S:1:pos:R:3 pbc="T T T"
Cr 0.000 0.000 0.000
K 0.000 0.000 3.211
K 3.211 0.000 0.000
Tc 0.000 2.226 0.000
Ga 3.211 2.226 3.211
```

10.
## KZnCr2Ga (PBE)

Data for a relaxed structure of KZnCr2Ga.

total energy = -19.8 eV for the cell shown
DOS(E_F) = 1.60 states/eV per cell
magnetization = 8.17 μB/cell

```
5
Lattice="4.936 0.000 0.000 0.000 6.216 0.000 0.000 0.000 4.936" Properties=species:S:1:pos:R:3 pbc="T T T"
Cr 0.000 0.000 2.468
Cr 2.468 0.000 0.000
Zn 2.468 3.108 2.468
K 0.000 3.108 0.000
Ga 0.000 0.000 0.000
```

11.
## LaCr2Ga (PBE)

Data for a relaxed structure of LaCr2Ga.

total energy = -46.9 eV for the cell shown
DOS(E_F) = 17.17 states/eV per cell
magnetization = 0.00 μB/cell

```
8
Lattice="-7.408 -0.061 -0.112 -0.005 -6.367 3.789 -3.755 -1.785 4.240" Properties=species:S:1:pos:R:3 pbc="T T T"
Cr -5.182 -1.277 1.470
Cr -2.255 -4.436 3.409
Cr -5.596 -4.082 4.757
Cr -9.302 -6.630 6.199
Ga -3.706 -3.214 1.839
Ga -3.733 -5.683 4.934
La 0.000 0.000 0.000
La -7.435 -2.530 2.983
```

12.
## LaCrGa2 (PBE)

Data for a relaxed structure of LaCrGa2.

total energy = -20.0 eV for the cell shown
DOS(E_F) = 7.05 states/eV per cell
magnetization = 0.30 μB/cell

```
4
Lattice="0.000 3.417 3.417 3.417 0.000 3.417 3.417 3.417 0.000" Properties=species:S:1:pos:R:3 pbc="T T T"
Cr 0.000 0.000 0.000
Ga 1.709 1.709 1.709
Ga 5.126 5.126 5.126
La 3.417 3.417 3.417
```